A relaxed structure of Rb2Pr2ZrSe6, computed with PBE-GGA.

Values from the calculation:
uncorrected energy: -117.45 eV/cell
total moment: 0.0000 μB per atom

a b c (Å): 7.3536 12.5778 8.5693
angles (deg): 90.00 107.11 90.00
Space group C2/m (No. 12)
Asymmetric unit:
Rb 0.0000 0.1715 0.0000 (multiplicity 4)
Pr 0.0000 0.3333 0.5000 (multiplicity 4)
Zr 0.0000 0.0000 0.5000 (multiplicity 2)
Se 0.2218 0.1542 0.6942 (multiplicity 8)
Se 0.2394 0.0000 0.3075 (multiplicity 4)

=====

A relaxed structure of Rb3Pr2ZrSe6, computed with PBE-GGA.

Values from the calculation:
uncorrected energy: -121.21 eV/cell
total moment: 0.0000 μB per atom

a b c (Å): 7.3651 12.7607 8.4215
angles (deg): 90.00 107.02 90.00
Space group C2/m (No. 12)
Asymmetric unit:
Rb 0.0000 0.0000 0.0000 (multiplicity 2)
Rb 0.0000 0.3286 0.0000 (multiplicity 4)
Pr 0.0000 0.1662 0.5000 (multiplicity 4)
Zr 0.0000 0.5000 0.5000 (multiplicity 2)
Se 0.2219 0.3445 0.6992 (multiplicity 8)
Se 0.2434 0.5000 0.2993 (multiplicity 4)

=====

A relaxed structure of RbPrSiTe4, computed with PBE-GGA.

Values from the calculation:
uncorrected energy: -59.31 eV/cell
total moment: 0.0000 μB per atom

a b c (Å): 7.3254 7.5977 10.1599
angles (deg): 90.00 108.32 90.00
Space group P2_1/m (No. 11)
Asymmetric unit:
Rb 0.2447 0.2500 0.0595 (multiplicity 2)
Pr 0.2324 0.2500 0.5522 (multiplicity 2)
Si 0.2135 0.7500 0.3252 (multiplicity 2)
Te 0.0158 0.5086 0.7149 (multiplicity 4)
Te 0.4096 0.7500 0.1626 (multiplicity 2)
Te 0.4164 0.7500 0.5766 (multiplicity 2)

=====

A relaxed structure of RbPr2Sm, computed with PBE-GGA.

Values from the calculation:
uncorrected energy: -42.96 eV/cell
total moment: 0.0000 μB per atom
ΔH_f (0 K): 22 kJ/mol of atoms

a b c (Å): 3.7378 3.7378 41.0128
angles (deg): 90.00 90.00 120.00
Space group R-3m (No. 166, hexagonal axes)
Asymmetric unit:
Rb 0.0000 0.0000 0.0000 (multiplicity 3)
Pr 0.0000 0.0000 0.0956 (multiplicity 6)
Sm 0.0000 0.0000 0.5000 (multiplicity 3)

=====

A relaxed structure of Rb3Pr2SmTe6, computed with PBE-GGA.

Values from the calculation:
uncorrected energy: -105.86 eV/cell
total moment: 0.0000 μB per atom

a b c (Å): 8.0622 13.9644 8.9868
angles (deg): 90.00 107.41 90.00
Space group C2/m (No. 12)
Asymmetric unit:
Rb 0.0000 0.0000 0.0000 (multiplicity 2)
Rb 0.0000 0.3320 0.0000 (multiplicity 4)
Pr 0.0000 0.1665 0.5000 (multiplicity 4)
Sm 0.0000 0.5000 0.5000 (multiplicity 2)
Te 0.2328 0.3355 0.7050 (multiplicity 8)
Te 0.2396 0.0000 0.7055 (multiplicity 4)

=====

A relaxed structure of RbPr3Sm2Te6, computed with PBE-GGA.

Values from the calculation:
uncorrected energy: -120.00 eV/cell
total moment: 0.0000 μB per atom

a b c (Å): 19.9447 4.5170 9.3022
angles (deg): 90.00 103.48 90.00
Space group C2/m (No. 12)
Asymmetric unit:
Rb 0.0000 0.0000 0.0000 (multiplicity 2)
Pr 0.0000 0.0000 0.5000 (multiplicity 2)
Pr 0.1594 0.5000 0.8180 (multiplicity 4)
Sm 0.1686 0.5000 0.3432 (multiplicity 4)
Te 0.0060 0.5000 0.2667 (multiplicity 4)
Te 0.1674 0.0000 0.5790 (multiplicity 4)
Te 0.1753 0.0000 0.0907 (multiplicity 4)

=====

A relaxed structure of Rb4PrSm3Te8, computed with PBE-GGA.

Values from the calculation:
uncorrected energy: -211.22 eV/cell
total moment: 0.0000 μB per atom

a b c (Å): 9.2458 9.2458 25.7094
angles (deg): 90.00 90.00 120.00
Space group R-3m (No. 166, hexagonal axes)
Asymmetric unit:
Rb 0.0000 0.0000 0.0000 (multiplicity 3)
Rb 0.0000 0.5000 0.0000 (multiplicity 9)
Pr 0.0000 0.0000 0.5000 (multiplicity 3)
Sm 0.0000 0.5000 0.5000 (multiplicity 9)
Te 0.0000 0.0000 0.2341 (multiplicity 6)
Te 0.0039 0.5020 0.7652 (multiplicity 18)

=====

A relaxed structure of Rb2PrSmTe4, computed with PBE-GGA.

Values from the calculation:
uncorrected energy: -35.25 eV/cell
total moment: 0.0000 μB per atom

a b c (Å): 8.0393 4.6426 8.9804
angles (deg): 90.00 107.36 90.00
Space group P2/m (No. 10)
Asymmetric unit:
Rb 0.0000 0.0000 0.0000 (multiplicity 1)
Rb 0.5000 0.5000 0.0000 (multiplicity 1)
Pr 0.0000 0.5000 0.5000 (multiplicity 1)
Sm 0.5000 0.0000 0.5000 (multiplicity 1)
Te 0.2392 0.0000 0.7057 (multiplicity 2)
Te 0.2694 0.5000 0.2962 (multiplicity 2)

=====

A relaxed structure of Rb2Pr2Sn15, computed with PBE-GGA.

Values from the calculation:
uncorrected energy: -226.11 eV/cell
total moment: 0.0000 μB per atom
ΔH_f (0 K): -19 kJ/mol of atoms

a b c (Å): 10.8450 10.8450 17.4701
angles (deg): 90.00 90.00 120.00
Space group R-3m (No. 166, hexagonal axes)
Asymmetric unit:
Rb 0.0000 0.0000 0.1490 (multiplicity 6)
Pr 0.0000 0.0000 0.3902 (multiplicity 6)
Sn 0.0000 0.2860 0.5000 (multiplicity 18)
Sn 0.0000 0.5000 0.0000 (multiplicity 9)
Sn 0.0029 0.5014 0.6425 (multiplicity 18)

=====

A relaxed structure of RbPrSn, computed with PBE-GGA.

Values from the calculation:
uncorrected energy: -41.78 eV/cell
total moment: 0.0000 μB per atom
ΔH_f (0 K): -22 kJ/mol of atoms

a b c (Å): 9.6433 5.5703 10.7306
angles (deg): 90.00 107.44 90.00
Space group C2/m (No. 12)
Asymmetric unit:
Rb 0.1281 0.0000 0.3834 (multiplicity 4)
Pr 0.1273 0.5000 0.8829 (multiplicity 4)
Sn 0.2315 0.5000 0.1930 (multiplicity 4)

=====

A relaxed structure of RbPrSn2, computed with PBE-GGA.

Values from the calculation:
uncorrected energy: -15.45 eV/cell
total moment: 0.0000 μB per atom
ΔH_f (0 K): -41 kJ/mol of atoms

a b c (Å): 4.2641 4.2641 8.1437
angles (deg): 90.00 90.00 90.00
Space group P4/mmm (No. 123)
Asymmetric unit:
Rb 0.0000 0.0000 0.0000 (multiplicity 1)
Pr 0.0000 0.0000 0.5000 (multiplicity 1)
Sn 0.5000 0.5000 0.3211 (multiplicity 2)

=====

A relaxed structure of RbPrSn4, computed with PBE-GGA.

Values from the calculation:
uncorrected energy: -93.60 eV/cell
total moment: 0.0000 μB per atom
ΔH_f (0 K): -26 kJ/mol of atoms

a b c (Å): 9.0194 9.0194 9.0194
angles (deg): 90.00 90.00 90.00
Space group F-43m (No. 216)
Asymmetric unit:
Rb 0.0000 0.0000 0.0000 (multiplicity 4)
Pr 0.2500 0.2500 0.7500 (multiplicity 4)
Sn 0.1238 0.1238 0.3762 (multiplicity 16)

=====

A relaxed structure of Rb3Pr2SnTe6, computed with PBE-GGA.

Values from the calculation:
uncorrected energy: -97.01 eV/cell
total moment: 0.0000 μB per atom

a b c (Å): 8.0624 13.9651 8.9740
angles (deg): 90.00 107.45 90.00
Space group C2/m (No. 12)
Asymmetric unit:
Rb 0.0000 0.0000 0.0000 (multiplicity 2)
Rb 0.0000 0.3315 0.0000 (multiplicity 4)
Pr 0.0000 0.1664 0.5000 (multiplicity 4)
Sn 0.0000 0.5000 0.5000 (multiplicity 2)
Te 0.2300 0.3372 0.7018 (multiplicity 8)
Te 0.2422 0.0000 0.7026 (multiplicity 4)

=====

A relaxed structure of RbPrSnTe3, computed with PBE-GGA.

Values from the calculation:
uncorrected energy: -50.49 eV/cell
total moment: 0.0000 μB per atom

a b c (Å): 9.6172 4.5377 12.2144
angles (deg): 90.00 108.49 90.00
Space group P2_1/m (No. 11)
Asymmetric unit:
Rb 0.2303 0.2500 0.2743 (multiplicity 2)
Pr 0.3611 0.7500 0.8436 (multiplicity 2)
Sn 0.1283 0.2500 0.5572 (multiplicity 2)
Te 0.1068 0.2500 0.7870 (multiplicity 2)
Te 0.3409 0.7500 0.5723 (multiplicity 2)
Te 0.3952 0.7500 0.1107 (multiplicity 2)

=====

A relaxed structure of RbSr2Pr, computed with PBE-GGA.

Values from the calculation:
uncorrected energy: -8.45 eV/cell
distance to the lowest polymorph of the same formula: 0 meV/atom
total moment: 0.0002 μB per atom
ΔH_f (0 K): 16 kJ/mol of atoms

a b c (Å): 4.1297 4.1297 12.7052
angles (deg): 90.00 90.00 90.00
Space group P4/mmm (No. 123)
Asymmetric unit:
Rb 0.0000 0.0000 0.0000 (multiplicity 1)
Sr 0.5000 0.5000 0.2935 (multiplicity 2)
Pr 0.0000 0.0000 0.5000 (multiplicity 1)

=====

A relaxed structure of RbSr2Pr, computed with PBE-GGA.

Values from the calculation:
uncorrected energy: -24.80 eV/cell
distance to the lowest polymorph of the same formula: 45 meV/atom
total moment: 0.0502 μB per atom
ΔH_f (0 K): 20 kJ/mol of atoms

a b c (Å): 4.0949 4.0949 44.4811
angles (deg): 90.00 90.00 120.00
Space group R-3m (No. 166, hexagonal axes)
Asymmetric unit:
Rb 0.0000 0.0000 0.0000 (multiplicity 3)
Sr 0.0000 0.0000 0.0957 (multiplicity 6)
Pr 0.0000 0.0000 0.5000 (multiplicity 3)

=====

A relaxed structure of Rb3TbPr3Te8, computed with PBE-GGA.

Values from the calculation:
uncorrected energy: -133.71 eV/cell
total moment: 0.0000 μB per atom

a b c (Å): 15.8073 9.1175 10.2911
angles (deg): 90.00 120.81 90.00
Space group C2/m (No. 12)
Asymmetric unit:
Rb 0.0000 0.0000 0.0000 (multiplicity 2)
Rb 0.2500 0.2500 0.0000 (multiplicity 4)
Tb 0.0000 0.0000 0.5000 (multiplicity 2)
Pr 0.0000 0.5000 0.5000 (multiplicity 2)
Pr 0.2500 0.2500 0.5000 (multiplicity 4)
Te 0.0142 0.2444 0.2984 (multiplicity 8)
Te 0.2302 0.0000 0.7016 (multiplicity 4)
Te 0.2359 0.5000 0.7076 (multiplicity 4)

=====

A relaxed structure of RbTb3Pr2Te6, computed with PBE-GGA.

Values from the calculation:
uncorrected energy: -118.85 eV/cell
total moment: 0.0000 μB per atom

a b c (Å): 19.9123 4.4268 9.2826
angles (deg): 90.00 105.10 90.00
Space group C2/m (No. 12)
Asymmetric unit:
Rb 0.0000 0.0000 0.0000 (multiplicity 2)
Tb 0.0000 0.0000 0.5000 (multiplicity 2)
Tb 0.1634 0.5000 0.8238 (multiplicity 4)
Pr 0.1732 0.5000 0.3504 (multiplicity 4)
Te 0.0004 0.5000 0.2728 (multiplicity 4)
Te 0.1615 0.0000 0.5924 (multiplicity 4)
Te 0.1760 0.0000 0.0801 (multiplicity 4)

=====

A relaxed structure of Rb3Tb2PrTe6, computed with PBE-GGA.

Values from the calculation:
uncorrected energy: -105.10 eV/cell
total moment: 0.0000 μB per atom

a b c (Å): 7.9477 13.7674 8.9647
angles (deg): 90.00 107.20 90.00
Space group C2/m (No. 12)
Asymmetric unit:
Rb 0.0000 0.0000 0.0000 (multiplicity 2)
Rb 0.0000 0.3354 0.0000 (multiplicity 4)
Tb 0.0000 0.1669 0.5000 (multiplicity 4)
Pr 0.0000 0.5000 0.5000 (multiplicity 2)
Te 0.2257 0.0000 0.7015 (multiplicity 4)
Te 0.2382 0.3293 0.7022 (multiplicity 8)

=====

A relaxed structure of Rb2TbPrTe4, computed with PBE-GGA.

Values from the calculation:
uncorrected energy: -35.10 eV/cell
total moment: 0.0000 μB per atom

a b c (Å): 7.9888 4.6117 8.9709
angles (deg): 90.00 107.26 90.00
Space group P2/m (No. 10)
Asymmetric unit:
Rb 0.0000 0.0000 0.0000 (multiplicity 1)
Rb 0.5000 0.5000 0.0000 (multiplicity 1)
Tb 0.0000 0.5000 0.5000 (multiplicity 1)
Pr 0.5000 0.0000 0.5000 (multiplicity 1)
Te 0.2265 0.0000 0.7014 (multiplicity 2)
Te 0.2576 0.5000 0.2951 (multiplicity 2)

=====

A relaxed structure of Rb3TbPr2Te6, computed with PBE-GGA.

Values from the calculation:
uncorrected energy: -105.56 eV/cell
total moment: 0.0000 μB per atom

a b c (Å): 8.0275 13.9055 8.9801
angles (deg): 90.00 107.35 90.00
Space group C2/m (No. 12)
Asymmetric unit:
Rb 0.0000 0.0000 0.0000 (multiplicity 2)
Rb 0.0000 0.3311 0.0000 (multiplicity 4)
Tb 0.0000 0.5000 0.5000 (multiplicity 2)
Pr 0.0000 0.1664 0.5000 (multiplicity 4)
Te 0.2306 0.3373 0.7039 (multiplicity 8)
Te 0.2431 0.0000 0.7047 (multiplicity 4)

=====

A relaxed structure of Rb4Tb3PrTe8, computed with PBE-GGA.

Values from the calculation:
uncorrected energy: -209.93 eV/cell
total moment: 0.0000 μB per atom

a b c (Å): 9.1538 9.1538 25.6902
angles (deg): 90.00 90.00 120.00
Space group R-3m (No. 166, hexagonal axes)
Asymmetric unit:
Rb 0.0000 0.0000 0.0000 (multiplicity 3)
Rb 0.0000 0.5000 0.0000 (multiplicity 9)
Tb 0.0000 0.5000 0.5000 (multiplicity 9)
Pr 0.0000 0.0000 0.5000 (multiplicity 3)
Te 0.0000 0.0000 0.2330 (multiplicity 6)
Te 0.0073 0.5036 0.7659 (multiplicity 18)